(1)
VASP calculation (GGA-PBE) on an optimized crystal structure of CePr2Ho2Tm2.

abc: 3.446 12.208 11.781
angles: 151.07 90.00 98.11
Last column: magnetic moment on the atom in μB.
Element x y z (fractional)
Ce 0.000 0.000 0.500  0.78
Pr 0.298 0.595 0.955  0.02
Pr 0.702 0.405 0.045  0.02
Tm 0.054 0.107 0.307  0.05
Tm 0.946 0.893 0.693  0.05
Ho 0.357 0.713 0.770  0.02
Ho 0.643 0.287 0.230  0.02

Summary:
* ρ: 7.89 g/cm3
* space group: C2/m (12)
* DFT total energy: -0.3397 Ry/atom
* crystal system: monoclinic
* energy relative to the elements: 0.1772 eV/atom



(2)
VASP calculation (GGA-PBE) on an optimized crystal structure of CePr2HoTm.

abc: 8.153 6.785 6.086
angles: 90.15 90.00 90.00
Last column: magnetic moment on the atom in μB.
Element x y z (fractional)
Tm 0.878 0.500 0.250  0.01
Tm 0.122 0.500 0.750  0.01
Pr 0.690 0.733 0.749  0.01
Pr 0.310 0.267 0.251  0.01
Pr 0.690 0.267 0.751  0.01
Pr 0.310 0.733 0.249  0.01
Ho 0.644 0.000 0.250  0.01
Ho 0.356 0.000 0.750  0.01
Ce 0.000 0.000 0.000  0.39
Ce 0.000 0.000 0.500  0.39

Summary:
* ρ: 7.46 g/cm3
* space group: P2/c (13)
* DFT total energy: -0.3403 Ry/atom
* crystal system: monoclinic
* energy relative to the elements: 0.2788 eV/atom



(3)
VASP calculation (GGA-PBE) on an optimized crystal structure of Ce2Pr3Y6Ho.

abc: 6.238 6.238 11.853
angles: 95.03 95.03 119.99
Last column: magnetic moment on the atom in μB.
Element x y z (fractional)
Pr 0.500 0.500 0.500  -0.01
Pr 0.834 0.166 0.500  -0.01
Pr 0.166 0.834 0.500  -0.01
Y 0.417 0.082 0.245  0.01
Y 0.583 0.918 0.755  0.01
Y 0.918 0.583 0.755  0.01
Y 0.082 0.417 0.245  0.01
Y 0.747 0.747 0.245  0.01
Y 0.253 0.253 0.755  0.01
Ho 0.000 0.000 0.000  0.06
Ce 0.334 0.666 0.000  0.76
Ce 0.666 0.334 0.000  0.76

Summary:
* ρ: 5.92 g/cm3
* space group: C2/m (12)
* DFT total energy: -0.4228 Ry/atom
* crystal system: monoclinic
* energy relative to the elements: 0.0455 eV/atom



(4)
VASP calculation (GGA-PBE) on an optimized crystal structure of CePrYHo.

abc: 5.717 5.717 5.717
angles: 60.00 60.00 60.00
Last column: magnetic moment on the atom in μB.
Element x y z (fractional)
Pr 0.500 0.500 0.500  0.00
Y 0.750 0.750 0.750  0.01
Ho 0.250 0.250 0.250  0.01
Ce 0.000 0.000 0.000  0.67

Summary:
* ρ: 6.72 g/cm3
* space group: F-43m (216)
* DFT total energy: -0.3878 Ry/atom
* crystal system: cubic
* energy relative to the elements: 0.1624 eV/atom



(5)
VASP calculation (GGA-PBE) on an optimized crystal structure of Ce2PrY3Ho6.

abc: 6.152 6.152 11.759
angles: 95.01 95.01 120.00
Last column: magnetic moment on the atom in μB.
Element x y z (fractional)
Ho 0.420 0.084 0.250  0.01
Ho 0.253 0.253 0.750  0.01
Ho 0.916 0.580 0.750  0.01
Ho 0.084 0.420 0.250  0.01
Ho 0.747 0.747 0.250  0.01
Ho 0.580 0.916 0.750  0.01
Y 0.166 0.834 0.500  -0.02
Y 0.500 0.500 0.500  -0.02
Y 0.834 0.166 0.500  -0.02
Ce 0.333 0.667 0.000  0.73
Ce 0.667 0.333 0.000  0.73
Pr 0.000 0.000 0.000  0.00

Summary:
* ρ: 7.34 g/cm3
* space group: C2/m (12)
* DFT total energy: -0.3851 Ry/atom
* crystal system: monoclinic
* energy relative to the elements: 0.0530 eV/atom



(6)
VASP calculation (GGA-PBE) on an optimized crystal structure of CePr2Y6Ho3.

abc: 6.216 6.216 11.848
angles: 95.02 95.02 119.99
Last column: magnetic moment on the atom in μB.
Element x y z (fractional)
Ce 0.000 0.000 0.000  0.77
Y 0.585 0.916 0.747  0.01
Y 0.753 0.753 0.253  0.01
Y 0.247 0.247 0.747  0.01
Y 0.415 0.084 0.253  0.01
Y 0.916 0.585 0.747  0.01
Y 0.084 0.415 0.253  0.01
Ho 0.500 0.500 0.500  -0.02
Ho 0.833 0.167 0.500  -0.02
Ho 0.167 0.833 0.500  -0.02
Pr 0.666 0.334 0.000  0.01
Pr 0.334 0.666 0.000  0.01

Summary:
* ρ: 6.17 g/cm3
* space group: C2/m (12)
* DFT total energy: -0.4135 Ry/atom
* crystal system: monoclinic
* energy relative to the elements: 0.0422 eV/atom